Entry 1:
{"formula": "SmGa3PdPt", "functional": "PBE-GGA", "state": "optimized geometry", "formation_enthalpy_0k_ev_per_atom": -0.5652, "dos_ef_per_ev_fu": 2.77, "dft_energy_ev_per_atom": -4.737, "lattice_angstrom": [[2.972, -6.636, 0.000], [2.972, 6.636, 0.000], [0.000, 0.000, 5.798]], "species": ["Sm", "Sm", "Ga", "Ga", "Ga", "Ga", "Ga", "Ga", "Pd", "Pd", "Pt", "Pt"], "fractional_positions": [[0.204, 0.796, 0.750], [0.796, 0.204, 0.250], [0.213, 0.213, 0.000], [0.213, 0.213, 0.500], [0.357, 0.643, 0.250], [0.643, 0.357, 0.750], [0.787, 0.787, 0.000], [0.787, 0.787, 0.500], [0.157, 0.843, 0.250], [0.843, 0.157, 0.750], [0.411, 0.589, 0.750], [0.589, 0.411, 0.250]]}


Entry 2:
{"formula": "ThMgSc3", "functional": "PBE-GGA", "state": "optimized geometry", "formation_enthalpy_0k_ev_per_atom": 0.0457, "dos_ef_per_ev_fu": 6.83, "dft_energy_ev_per_atom": -5.556, "e_above_lowest_polymorph_mev_per_atom": 0, "lattice_angstrom": [[8.460, 0.000, 0.000], [0.000, 3.572, 0.000], [-0.250, 0.000, 8.493]], "species": ["Th", "Th", "Mg", "Mg", "Sc", "Sc", "Sc", "Sc", "Sc", "Sc"], "fractional_positions": [[0.240, 0.250, 0.258], [0.760, 0.750, 0.742], [0.373, 0.750, 0.941], [0.627, 0.250, 0.059], [0.080, 0.250, 0.871], [0.136, 0.750, 0.575], [0.439, 0.250, 0.642], [0.561, 0.750, 0.358], [0.864, 0.250, 0.425], [0.920, 0.750, 0.129]]}


Entry 3:
{"formula": "AgIrOs2", "functional": "PBE-GGA", "state": "optimized geometry", "formation_enthalpy_0k_ev_per_atom": 0.6482, "dos_ef_per_ev_fu": 4.66, "dft_energy_ev_per_atom": -7.895, "e_above_lowest_polymorph_mev_per_atom": 373, "lattice_angstrom": [[-1.927, 1.927, 4.039], [1.927, -1.927, 4.039], [1.927, 1.927, -4.039]], "species": ["Ag", "Ir", "Os", "Os"], "fractional_positions": [[0.000, 0.000, 0.000], [0.500, 0.500, 0.000], [0.250, 0.750, 0.500], [0.750, 0.250, 0.500]]}


Entry 4:
{"formula": "Sm2YTaN4", "functional": "PBE-GGA", "state": "optimized geometry", "dos_ef_per_ev_fu": 1.84, "e_form_raw_ev_per_atom": -1.425, "dft_energy_ev_per_atom": -9.057, "lattice_angstrom": [[5.890, 0.000, 0.000], [0.000, 3.387, 0.000], [-1.926, 0.000, 5.634]], "species": ["Sm", "Sm", "Y", "Ta", "N", "N", "N", "N"], "fractional_positions": [[0.000, 0.000, 0.000], [0.500, 0.500, 0.000], [0.000, 0.500, 0.500], [0.500, 0.000, 0.500], [0.266, 0.000, 0.722], [0.278, 0.500, 0.284], [0.722, 0.500, 0.716], [0.734, 0.000, 0.278]]}


Entry 5:
{"formula": "TcAgHg2", "functional": "PBE-GGA", "state": "optimized geometry", "formation_enthalpy_0k_ev_per_atom": 0.5219, "dos_ef_per_ev_fu": 3.05, "dft_energy_ev_per_atom": -2.933, "e_above_lowest_polymorph_mev_per_atom": 90, "lattice_angstrom": [[2.895, 0.000, 0.000], [0.000, 4.116, 0.000], [-0.018, 0.000, 6.249]], "species": ["Tc", "Ag", "Hg", "Hg"], "fractional_positions": [[0.000, 0.000, 0.000], [0.000, 0.000, 0.500], [0.498, 0.500, 0.759], [0.502, 0.500, 0.241]]}


Entry 6:
{"formula": "Dy2YCdC", "functional": "PBE-GGA", "state": "optimized geometry", "formation_enthalpy_0k_ev_per_atom": -0.3113, "dos_ef_per_ev_fu": 6.83, "dft_energy_ev_per_atom": -5.473, "lattice_angstrom": [[4.937, 0.000, 0.000], [0.000, 4.937, 0.000], [0.000, 0.000, 4.934]], "species": ["Dy", "Dy", "Y", "Cd", "C"], "fractional_positions": [[0.000, 0.500, 0.000], [0.500, 0.000, 0.000], [0.000, 0.000, 0.500], [0.500, 0.500, 0.500], [0.000, 0.000, 0.000]]}


Entry 7:
{"formula": "SrMgCd3", "functional": "PBE-GGA", "state": "optimized geometry", "formation_enthalpy_0k_ev_per_atom": 0.6213, "dos_ef_per_ev_fu": 4.70, "dft_energy_ev_per_atom": -0.583, "e_above_lowest_polymorph_mev_per_atom": 845, "lattice_angstrom": [[6.321, 0.000, 0.000], [0.000, 6.321, 0.000], [0.000, 0.000, 6.321]], "species": ["Sr", "Mg", "Cd", "Cd", "Cd"], "fractional_positions": [[0.000, 0.000, 0.000], [0.500, 0.500, 0.500], [0.000, 0.000, 0.500], [0.000, 0.500, 0.000], [0.500, 0.000, 0.000]]}


Entry 8:
{"formula": "Ho8Er3Sc3", "functional": "PBE-GGA", "state": "optimized geometry", "formation_enthalpy_0k_ev_per_atom": 0.1276, "dos_ef_per_ev_fu": 23.35, "dft_energy_ev_per_atom": -4.823, "e_above_lowest_polymorph_mev_per_atom": 0, "lattice_angstrom": [[-2.738, 5.199, 7.334], [2.738, -5.199, 7.334], [2.738, 5.199, -7.334]], "species": ["Ho", "Ho", "Ho", "Ho", "Ho", "Ho", "Ho", "Ho", "Er", "Er", "Er", "Sc", "Sc", "Sc"], "fractional_positions": [[0.058, 0.398, 0.660], [0.061, 0.220, 0.841], [0.263, 0.602, 0.660], [0.378, 0.220, 0.159], [0.622, 0.780, 0.841], [0.737, 0.398, 0.340], [0.939, 0.780, 0.159], [0.942, 0.602, 0.340], [0.323, 0.823, 0.500], [0.500, 0.500, 0.000], [0.677, 0.177, 0.500], [0.000, 0.000, 0.000], [0.294, 0.000, 0.294], [0.706, 0.000, 0.706]]}


Entry 9:
{"formula": "CaP3Pd4", "functional": "PBE-GGA", "state": "optimized geometry", "formation_enthalpy_0k_ev_per_atom": -0.6812, "dos_ef_per_ev_fu": 3.84, "dft_energy_ev_per_atom": -5.557, "lattice_angstrom": [[4.135, 0.000, 0.000], [0.000, 4.135, 0.000], [0.000, 0.000, 7.694]], "species": ["Ca", "P", "P", "P", "Pd", "Pd", "Pd", "Pd"], "fractional_positions": [[0.000, 0.000, 0.000], [0.000, 0.000, 0.500], [0.500, 0.500, 0.142], [0.500, 0.500, 0.858], [0.000, 0.500, 0.315], [0.000, 0.500, 0.685], [0.500, 0.000, 0.315], [0.500, 0.000, 0.685]]}


Entry 10:
{"formula": "NaBeCoBi2", "functional": "PBE-GGA", "state": "optimized geometry", "formation_enthalpy_0k_ev_per_atom": 0.2950, "dos_ef_per_ev_fu": 3.69, "dft_energy_ev_per_atom": -3.688, "e_above_lowest_polymorph_mev_per_atom": 0, "lattice_angstrom": [[5.158, 0.000, 0.000], [0.000, 5.158, 0.000], [0.000, 0.000, 4.296]], "species": ["Na", "Be", "Co", "Bi", "Bi"], "fractional_positions": [[0.000, 0.000, 0.000], [0.500, 0.500, 0.000], [0.500, 0.500, 0.500], [0.000, 0.500, 0.500], [0.500, 0.000, 0.500]]}


Entry 11:
{"formula": "CaTa2Tc", "functional": "PBE-GGA", "state": "optimized geometry", "formation_enthalpy_0k_ev_per_atom": 0.5366, "dos_ef_per_ev_fu": 4.89, "dft_energy_ev_per_atom": -8.482, "e_above_lowest_polymorph_mev_per_atom": 270, "lattice_angstrom": [[0.000, 3.330, 3.330], [3.330, 0.000, 3.330], [3.330, 3.330, 0.000]], "species": ["Ca", "Ta", "Ta", "Tc"], "fractional_positions": [[0.000, 0.000, 0.000], [0.250, 0.250, 0.250], [0.750, 0.750, 0.750], [0.500, 0.500, 0.500]]}


Entry 12:
{"formula": "FeS2NCl", "functional": "PBE-GGA", "state": "optimized geometry", "dos_ef_per_ev_fu": 6.76, "e_form_raw_ev_per_atom": 1.470, "dft_energy_ev_per_atom": -3.908, "e_above_lowest_polymorph_mev_per_atom": 778, "lattice_angstrom": [[4.279, 0.000, 0.000], [0.000, 4.279, 0.000], [0.000, 0.000, 4.598]], "species": ["Fe", "S", "S", "N", "Cl"], "fractional_positions": [[0.000, 0.000, 0.000], [0.000, 0.500, 0.000], [0.500, 0.000, 0.000], [0.500, 0.500, 0.500], [0.000, 0.000, 0.500]]}